Compound: Tl3Cd2MoO6
Source: Alexandria via LeMat-Bulk
Functional: GGA+U
Structure: optimized geometry

Cell: 5.944 5.944 6.624 Å, 97.64 97.64 120.33°
Element x y z (fractional)
1 Tl 0.169 0.831 0.500
2 Tl 0.831 0.169 0.500
3 Tl 0.500 0.500 0.500
4 Cd 0.336 0.664 0.000
5 Cd 0.664 0.336 0.000
6 Mo 0.000 0.000 0.000
7 O 0.938 0.655 0.837
8 O 0.783 0.783 0.201
9 O 0.062 0.345 0.163
10 O 0.655 0.938 0.837
11 O 0.217 0.217 0.799
12 O 0.345 0.062 0.163

Properties
crystal system = monoclinic
DOS(E_F) = 0.01 states/eV/cell
DFT total energy = -4.819 eV/atom
volume = 16.22 A^3/atom